1.
# PmTh2Au6

PmTh2Au6 after structural relaxation (GGA-PBE, Alexandria).

Mass density, kg/m3: 14320
SG: No. 191
VASP energy, eV per atom: -5.09
ΔE_f, eV/atom: -0.724

a b c (Å): 8.3059 8.3059 3.4759
angles (deg): 90.00 90.00 120.00
Closest atoms and distances in Å follow each position.
Fractional positions:
Pm1 0.0000 0.0000 0.0000  12 Au 3.27, 2 Pm 3.48
Th1 0.3333 0.6667 0.0000  12 Au 3.27, 2 Th 3.48
Th2 0.6667 0.3333 0.0000  12 Au 3.27, 2 Th 3.48
Au1 0.0000 0.3329 0.5000  3 Au 2.77-2.78
Au2 0.0000 0.6671 0.5000  3 Au 2.77-2.78
Au3 0.3329 0.0000 0.5000  3 Au 2.77-2.78
Au4 0.3329 0.3329 0.5000  3 Au 2.77-2.78
Au5 0.6671 0.0000 0.5000  3 Au 2.77-2.78
Au6 0.6671 0.6671 0.5000  3 Au 2.77-2.78

2.
# TbTc2O8

TbTc2O8 after structural relaxation (GGA-PBE, Alexandria).

Mass density, kg/m3: 3564
SG: No. 12
Formation energy without anion corrections, meV per atom: -1757.7
VASP energy, eV per atom: -7.67
Energy relative to the lowest polymorph listed for this composition, meV per atom: 128

a b c (Å): 6.3467 6.3467 5.6354
angles (deg): 95.33 95.33 88.64
Closest atoms and distances in Å follow each position.
Fractional positions:
Tb1 0.0000 0.0000 0.0000  6 O 2.27-2.32
Tc1 0.2343 0.2343 0.6389  4 O 1.71-1.79
Tc2 0.7657 0.7657 0.3611  4 O 1.71-1.79
O1 0.0028 0.7054 0.2165  1 Tc 1.79
O2 0.1757 0.1757 0.3246  1 Tc 1.78
O3 0.2946 0.9972 0.7835  1 Tc 1.79
O4 0.4219 0.4219 0.7221  1 Tc 1.71
O5 0.5781 0.5781 0.2779  1 Tc 1.71
O6 0.7054 0.0028 0.2165  1 Tc 1.79
O7 0.8243 0.8243 0.6754  1 Tc 1.78
O8 0.9972 0.2946 0.7835  1 Tc 1.79

3.
# LiGaHgGe

LiGaHgGe after structural relaxation (GGA-PBE, Alexandria).

Mass density, kg/m3: 7670
SG: No. 216
VASP energy, eV per atom: -2.54
ΔE_f, eV/atom: -0.074

a b c (Å): 6.7165 6.7165 6.7165
angles (deg): 90.00 90.00 90.00
Closest atoms and distances in Å follow each position.
Fractional positions:
Li1 0.0000 0.0000 0.0000  4 Ge 2.91, 4 Hg 2.91
Li2 0.0000 0.5000 0.5000  4 Ge 2.91, 4 Hg 2.91
Li3 0.5000 0.0000 0.5000  4 Ge 2.91, 4 Hg 2.91
Li4 0.5000 0.5000 0.0000  4 Ge 2.91, 4 Hg 2.91
Ga1 0.0000 0.0000 0.5000  4 Ge 2.91, 4 Hg 2.91
Ga2 0.0000 0.5000 0.0000  4 Ge 2.91, 4 Hg 2.91
Ga3 0.5000 0.0000 0.0000  4 Ge 2.91, 4 Hg 2.91
Ga4 0.5000 0.5000 0.5000  4 Ge 2.91, 4 Hg 2.91
Hg1 0.2500 0.2500 0.2500  4 Li 2.91, 4 Ga 2.91
Hg2 0.2500 0.7500 0.7500  4 Li 2.91, 4 Ga 2.91
Hg3 0.7500 0.2500 0.7500  4 Li 2.91, 4 Ga 2.91
Hg4 0.7500 0.7500 0.2500  4 Li 2.91, 4 Ga 2.91
Ge1 0.2500 0.2500 0.7500  4 Li 2.91, 4 Ga 2.91
Ge2 0.2500 0.7500 0.2500  4 Li 2.91, 4 Ga 2.91
Ge3 0.7500 0.2500 0.2500  4 Li 2.91, 4 Ga 2.91
Ge4 0.7500 0.7500 0.7500  4 Li 2.91, 4 Ga 2.91

4.
# K2LaSb

K2LaSb after structural relaxation (GGA-PBE, Alexandria).

Mass density, kg/m3: 3912
SG: No. 119
Formation energy without anion corrections, meV per atom: -76.1
VASP energy, eV per atom: -2.89

a b c (Å): 5.4973 5.4973 9.5184
angles (deg): 90.00 90.00 90.00
Closest atoms and distances in Å follow each position.
Fractional positions:
K1 0.0000 0.0000 0.0000  4 K 3.64, 4 La 3.64, 4 Sb 3.89
K2 0.0000 0.5000 0.2500  4 K 3.64, 4 Sb 3.64, 4 La 3.89
K3 0.5000 0.0000 0.7500  4 K 3.64, 4 Sb 3.64, 4 La 3.89
K4 0.5000 0.5000 0.5000  4 K 3.64, 4 La 3.64, 4 Sb 3.89
La1 0.0000 0.5000 0.7500  4 Sb 3.64, 8 K 3.64-3.89
La2 0.5000 0.0000 0.2500  4 Sb 3.64, 8 K 3.64-3.89
Sb1 0.0000 0.0000 0.5000  4 La 3.64, 8 K 3.64-3.89
Sb2 0.5000 0.5000 0.0000  4 La 3.64, 8 K 3.64-3.89

5.
# Ca3BiPd12

Ca3BiPd12 after structural relaxation (GGA-PBE, Alexandria).

Mass density, kg/m3: 9474
SG: No. 123
VASP energy, eV per atom: -4.96
ΔE_f, eV/atom: -0.449

a b c (Å): 4.1326 4.1326 16.4849
angles (deg): 90.00 90.00 90.00
Closest atoms and distances in Å follow each position.
Fractional positions:
Ca1 0.0000 0.0000 0.0000  12 Pd 2.92
Ca2 0.0000 0.0000 0.2495  12 Pd 2.91-2.96
Ca3 0.0000 0.0000 0.7505  12 Pd 2.91-2.96
Bi1 0.0000 0.0000 0.5000  12 Pd 2.89-2.92
Pd1 0.0000 0.5000 0.1256  4 Ca 2.91-2.92, 8 Pd 2.92-2.93
Pd2 0.0000 0.5000 0.3777  8 Pd 2.89-2.93, 2 Bi 2.89, 2 Ca 2.96
Pd3 0.0000 0.5000 0.6223  8 Pd 2.89-2.93, 2 Bi 2.89, 2 Ca 2.96
Pd4 0.0000 0.5000 0.8744  4 Ca 2.91-2.92, 8 Pd 2.92-2.93
Pd5 0.5000 0.0000 0.1256  4 Ca 2.91-2.92, 8 Pd 2.92-2.93
Pd6 0.5000 0.0000 0.3777  8 Pd 2.89-2.93, 2 Bi 2.89, 2 Ca 2.96
Pd7 0.5000 0.0000 0.6223  8 Pd 2.89-2.93, 2 Bi 2.89, 2 Ca 2.96
Pd8 0.5000 0.0000 0.8744  4 Ca 2.91-2.92, 8 Pd 2.92-2.93
Pd9 0.5000 0.5000 0.0000  4 Ca 2.92, 8 Pd 2.92
Pd10 0.5000 0.5000 0.2520  4 Ca 2.92, 8 Pd 2.93
Pd11 0.5000 0.5000 0.5000  8 Pd 2.89, 4 Bi 2.92
Pd12 0.5000 0.5000 0.7480  4 Ca 2.92, 8 Pd 2.93

6.
# ScV2Cl

ScV2Cl after structural relaxation (GGA-PBE, Alexandria).

Mass density, kg/m3: 4448
SG: No. 122
Formation energy without anion corrections, meV per atom: 208.7
VASP energy, eV per atom: -6.40
Energy relative to the lowest polymorph listed for this composition, meV per atom: 0

a b c (Å): 3.5313 3.5313 21.8282
angles (deg): 90.00 90.00 90.00
Closest atoms and distances in Å follow each position.
Fractional positions:
Sc1 0.0000 0.0000 0.0000  4 Cl 2.50
Sc2 0.0000 0.5000 0.2500  4 Cl 2.50
Sc3 0.5000 0.0000 0.7500  4 Cl 2.50
Sc4 0.5000 0.5000 0.5000  4 Cl 2.50
V1 0.2431 0.2500 0.1250  4 V 2.46-2.53
V2 0.2500 0.7431 0.3750  4 V 2.46-2.53
V3 0.2500 0.7569 0.8750  4 V 2.46-2.53
V4 0.2569 0.2500 0.6250  4 V 2.46-2.53
V5 0.7431 0.7500 0.6250  4 V 2.46-2.53
V6 0.7500 0.2431 0.8750  4 V 2.46-2.53
V7 0.7500 0.2569 0.3750  4 V 2.46-2.53
V8 0.7569 0.7500 0.1250  4 V 2.46-2.53
Cl1 0.0000 0.0000 0.5000  4 Sc 2.50
Cl2 0.0000 0.5000 0.7500  4 Sc 2.50
Cl3 0.5000 0.0000 0.2500  4 Sc 2.50
Cl4 0.5000 0.5000 0.0000  4 Sc 2.50

7.
# Ba2ZrAg

Ba2ZrAg after structural relaxation (GGA-PBE, Alexandria).

Mass density, kg/m3: 5365
SG: No. 99
VASP energy, eV per atom: -3.59
ΔE_f, eV/atom: 0.226
Energy relative to the lowest polymorph listed for this composition, meV per atom: 0

a b c (Å): 3.8213 3.8213 10.0422
angles (deg): 90.00 90.00 90.00
Closest atoms and distances in Å follow each position.
Fractional positions:
Ba1 0.0000 0.0000 0.0000  1 Zr 3.54, 4 Ag 3.58, 4 Ba 3.82
Ba2 0.5000 0.5000 0.3807  4 Zr 3.80, 4 Ba 3.82, 1 Ag 3.88
Zr1 0.0000 0.0000 0.6473  4 Ag 2.96
Ag1 0.5000 0.5000 0.7666  4 Zr 2.96

8.
# ScHgPb2

ScHgPb2 after structural relaxation (GGA-PBE, Alexandria).

Mass density, kg/m3: 10718
SG: No. 47
VASP energy, eV per atom: -3.68
ΔE_f, eV/atom: -0.168

a b c (Å): 4.4248 4.7079 4.9084
angles (deg): 90.00 90.00 90.00
Closest atoms and distances in Å follow each position.
Fractional positions:
Sc1 0.0000 0.0000 0.0000  8 Pb 3.23-3.30, 4 Hg 3.40
Hg1 0.0000 0.5000 0.5000  8 Pb 3.23-3.30, 4 Sc 3.40
Pb1 0.5000 0.0000 0.5000  4 Hg 3.23, 4 Sc 3.30, 4 Pb 3.40
Pb2 0.5000 0.5000 0.0000  4 Sc 3.23, 4 Hg 3.30, 4 Pb 3.40

9.
# TaBe5Pd4

TaBe5Pd4 after structural relaxation (GGA-PBE, Alexandria).

Mass density, kg/m3: 9218
SG: No. 123
VASP energy, eV per atom: -5.60
ΔE_f, eV/atom: -0.476

a b c (Å): 2.8321 2.8321 14.6356
angles (deg): 90.00 90.00 90.00
Closest atoms and distances in Å follow each position.
Fractional positions:
Ta1 0.0000 0.0000 0.0000  8 Be 2.65, 4 Ta 2.83
Be1 0.5000 0.5000 0.1185  4 Pd 2.42, 4 Ta 2.65
Be2 0.5000 0.5000 0.3057  8 Pd 2.44-2.46
Be3 0.5000 0.5000 0.5000  8 Pd 2.45
Be4 0.5000 0.5000 0.6943  8 Pd 2.44-2.46
Be5 0.5000 0.5000 0.8815  4 Pd 2.42, 4 Ta 2.65
Pd1 0.0000 0.0000 0.2110  8 Be 2.42-2.44
Pd2 0.0000 0.0000 0.4036  8 Be 2.45-2.46
Pd3 0.0000 0.0000 0.5964  8 Be 2.45-2.46
Pd4 0.0000 0.0000 0.7890  8 Be 2.42-2.44

10.
# ErGa2Ni4Ge

ErGa2Ni4Ge after structural relaxation (GGA-PBE, Alexandria).

Mass density, kg/m3: 8719
SG: No. 166
VASP energy, eV per atom: -5.21
ΔE_f, eV/atom: -0.419

a b c (Å): 8.4615 8.4615 8.4615
angles (deg): 27.88 27.88 27.88
Closest atoms and distances in Å follow each position.
Fractional positions:
Er1 0.0000 0.0000 0.0000  8 Ni 2.93-3.26, 6 Ga 3.11
Ga1 0.2498 0.2498 0.2498  6 Ni 2.37-2.65
Ga2 0.7502 0.7502 0.7502  6 Ni 2.37-2.65
Ni1 0.1339 0.1339 0.1339  3 Ge 2.49, 3 Ga 2.65
Ni2 0.4051 0.4051 0.4051  1 Ge 2.31, 3 Ga 2.37
Ni3 0.5949 0.5949 0.5949  1 Ge 2.31, 3 Ga 2.37
Ni4 0.8661 0.8661 0.8661  3 Ge 2.49, 3 Ga 2.65
Ge1 0.5000 0.5000 0.5000  8 Ni 2.31-2.49

11.
# Cr2GaMo

Cr2GaMo after structural relaxation (GGA-PBE, Alexandria).

Mass density, kg/m3: 7341
SG: No. 122
VASP energy, eV per atom: -7.54
ΔE_f, eV/atom: 0.732

a b c (Å): 6.8171 6.8171 5.2498
angles (deg): 90.00 90.00 90.00
Closest atoms and distances in Å follow each position.
Fractional positions:
Cr1 0.2286 0.2500 0.1250  2 Mo 2.40, 2 Ga 2.60, 2 Cr 2.64
Cr2 0.2500 0.7286 0.3750  2 Mo 2.40, 2 Ga 2.60, 2 Cr 2.64
Cr3 0.2500 0.7714 0.8750  2 Mo 2.40, 2 Ga 2.60, 2 Cr 2.64
Cr4 0.2714 0.2500 0.6250  2 Mo 2.40, 2 Ga 2.60, 2 Cr 2.64
Cr5 0.7286 0.7500 0.6250  2 Mo 2.40, 2 Ga 2.60, 2 Cr 2.64
Cr6 0.7500 0.2286 0.8750  2 Mo 2.40, 2 Ga 2.60, 2 Cr 2.64
Cr7 0.7500 0.2714 0.3750  2 Mo 2.40, 2 Ga 2.60, 2 Cr 2.64
Cr8 0.7714 0.7500 0.1250  2 Mo 2.40, 2 Ga 2.60, 2 Cr 2.64
Ga1 0.0000 0.0000 0.5000  4 Cr 2.60, 2 Mo 2.62
Ga2 0.0000 0.5000 0.7500  4 Cr 2.60, 2 Mo 2.62
Ga3 0.5000 0.0000 0.2500  4 Cr 2.60, 2 Mo 2.62
Ga4 0.5000 0.5000 0.0000  4 Cr 2.60, 2 Mo 2.62
Mo1 0.0000 0.0000 0.0000  4 Cr 2.40, 2 Ga 2.62
Mo2 0.0000 0.5000 0.2500  4 Cr 2.40, 2 Ga 2.62
Mo3 0.5000 0.0000 0.7500  4 Cr 2.40, 2 Ga 2.62
Mo4 0.5000 0.5000 0.5000  4 Cr 2.40, 2 Ga 2.62

12.
# NpSc5Sb6

NpSc5Sb6 after structural relaxation (GGA-PBE, Alexandria).

Mass density, kg/m3: 6273
SG: No. 12
Formation energy without anion corrections, meV per atom: -801.3
VASP energy, eV per atom: -6.58

a b c (Å): 7.2871 7.2871 7.2866
angles (deg): 99.63 99.63 120.04
Closest atoms and distances in Å follow each position.
Fractional positions:
Np1 0.0000 0.0000 0.0000  6 Sb 3.04-3.05
Sc1 0.1625 0.8375 0.5000  6 Sb 2.93-2.98
Sc2 0.3321 0.6679 0.0000  6 Sb 2.96-2.98
Sc3 0.5000 0.5000 0.5000  6 Sb 2.91-2.97
Sc4 0.6679 0.3321 0.0000  6 Sb 2.96-2.98
Sc5 0.8375 0.1625 0.5000  6 Sb 2.93-2.98
Sb1 0.0860 0.4278 0.2572  5 Sc 2.93-2.98, 1 Np 3.05
Sb2 0.2586 0.2586 0.7482  5 Sc 2.91-2.96, 1 Np 3.04
Sb3 0.4278 0.0860 0.2572  5 Sc 2.93-2.98, 1 Np 3.05
Sb4 0.5722 0.9140 0.7428  5 Sc 2.93-2.98, 1 Np 3.05
Sb5 0.7414 0.7414 0.2518  5 Sc 2.91-2.96, 1 Np 3.04
Sb6 0.9140 0.5722 0.7428  5 Sc 2.93-2.98, 1 Np 3.05

Q: Look up the VASP energy of the third one.
A: -2.54 eV per atom

Q: What is the mass density in the eighth record?
A: 10718 kg/m3